No. 1
This record from Alexandria describes crystalline TcPtAu2 at its relaxed geometry. The functional is PBE.

a b c (Å): 2.8128 2.8128 8.3025
angles (deg): 90.00 90.00 90.00
Last column: nearest neighbours and their distance in Å.
Fractional coordinates of all 4 atoms:
Au: 0.0000 0.0000 0.9947  4 Au 2.81, 4 Tc 2.84, 4 Pt 2.91
Au: 0.0000 0.0000 0.5053  4 Au 2.81, 4 Tc 2.84, 4 Pt 2.91
Pt: 0.5000 0.5000 0.2500  4 Pt 2.81, 8 Au 2.91
Tc: 0.5000 0.5000 0.7500  4 Tc 2.81, 8 Au 2.84

Results
ΔE_f, meV/atom: 265
Energy above the lowest structure with this stoichiometry, eV per atom: 0.210
Electronic total energy, eV per atom: -5.48

---

No. 2
This record from Alexandria describes crystalline Tc2PtAu at its relaxed geometry. The functional is PBE.

a b c (Å): 4.9658 4.9658 4.9658
angles (deg): 134.16 134.16 66.84
Last column: nearest neighbours and their distance in Å.
Fractional coordinates of all 4 atoms:
Au: 0.2500 0.7500 0.5000  4 Pt 2.74, 8 Tc 2.83
Pt: 0.7500 0.2500 0.5000  4 Au 2.74, 8 Tc 2.83
Tc: 0.0000 0.0000 0.0000  4 Tc 2.74, 4 Pt 2.83, 4 Au 2.83
Tc: 0.5000 0.5000 0.0000  4 Tc 2.74, 4 Au 2.83, 4 Pt 2.83

Results
ΔE_f, meV/atom: 207
Energy above the lowest structure with this stoichiometry, eV per atom: 0.206
Electronic total energy, eV per atom: -7.31

---

No. 3
This record from Alexandria describes crystalline Tc2PtAu at its relaxed geometry. The functional is PBE.

a b c (Å): 3.8771 3.8768 4.1251
angles (deg): 90.00 90.00 90.00
Last column: nearest neighbours and their distance in Å.
Fractional coordinates of all 4 atoms:
Au: 0.5000 0.0000 0.5000  4 Pt 2.74, 8 Tc 2.83
Pt: 0.0000 0.5000 0.5000  4 Au 2.74, 8 Tc 2.83
Tc: 0.0000 0.0000 0.0000  4 Tc 2.74, 4 Pt 2.83, 4 Au 2.83
Tc: 0.5000 0.5000 0.0000  4 Tc 2.74, 4 Au 2.83, 4 Pt 2.83

Results
ΔE_f, meV/atom: 222
Energy above the lowest structure with this stoichiometry, eV per atom: 0.222
Electronic total energy, eV per atom: -7.29

---

No. 4
This record from Alexandria describes crystalline TcPt2Au at its relaxed geometry. The functional is PBE.

a b c (Å): 9.4318 9.4318 9.4318
angles (deg): 17.15 17.15 17.15
Last column: nearest neighbours and their distance in Å.
Fractional coordinates of all 4 atoms:
Au: 0.7500 0.7500 0.7500  6 Au 2.81, 6 Pt 2.95
Pt: 0.9949 0.9949 0.9949  3 Tc 2.72, 6 Pt 2.81, 3 Au 2.95
Pt: 0.5051 0.5051 0.5051  3 Tc 2.72, 6 Pt 2.81, 3 Au 2.95
Tc: 0.2500 0.2500 0.2500  6 Pt 2.72, 6 Tc 2.81

Results
ΔE_f, meV/atom: -41
Energy above the lowest structure with this stoichiometry, eV per atom: 0.070
Electronic total energy, eV per atom: -6.47

---

No. 5
This record from Alexandria describes crystalline TcPt2Au at its relaxed geometry. The functional is PBE.

a b c (Å): 4.4979 4.4979 4.4979
angles (deg): 60.00 60.00 60.00
Last column: nearest neighbours and their distance in Å.
Fractional coordinates of all 4 atoms:
Au: 0.5000 0.5000 0.5000  4 Tc 2.75, 4 Pt 2.75
Pt: 0.0000 0.0000 0.0000  4 Tc 2.75, 4 Pt 2.75
Pt: 0.7500 0.7500 0.7500  4 Pt 2.75, 4 Au 2.75
Tc: 0.2500 0.2500 0.2500  4 Pt 2.75, 4 Au 2.75

Results
ΔE_f, meV/atom: 274
Energy above the lowest structure with this stoichiometry, eV per atom: 0.385
Electronic total energy, eV per atom: -6.16

---

No. 6
This record from Alexandria describes crystalline TcPt2Au at its relaxed geometry. The functional is PBE.

a b c (Å): 3.9430 2.8261 6.3572
angles (deg): 63.45 90.00 90.00
Last column: nearest neighbours and their distance in Å.
Fractional coordinates of all 4 atoms:
Au: 0.5000 0.7500 0.7500  2 Au 2.83, 2 Tc 2.84, 8 Pt 2.85-2.86
Pt: 0.0000 0.9868 0.0159  3 Pt 2.66-2.83, 4 Tc 2.76-2.77, 4 Au 2.85-2.86
Pt: 0.0000 0.5132 0.4841  3 Pt 2.66-2.83, 4 Tc 2.76-2.77, 4 Au 2.85-2.86
Tc: 0.5000 0.2500 0.2500  8 Pt 2.76-2.77, 2 Tc 2.83, 2 Au 2.84

Results
ΔE_f, meV/atom: 11
Energy above the lowest structure with this stoichiometry, eV per atom: 0.122
Electronic total energy, eV per atom: -6.42

---

No. 7
This record from Alexandria describes crystalline TcPtAu2 at its relaxed geometry. The functional is PBE.

a b c (Å): 9.4815 9.4815 9.4815
angles (deg): 17.28 17.28 17.28
Last column: nearest neighbours and their distance in Å.
Fractional coordinates of all 4 atoms:
Au: 0.0019 0.0019 0.0019  3 Tc 2.81, 6 Au 2.85, 3 Pt 2.90
Au: 0.4981 0.4981 0.4981  3 Tc 2.81, 6 Au 2.85, 3 Pt 2.90
Pt: 0.2500 0.2500 0.2500  6 Pt 2.85, 6 Au 2.90
Tc: 0.7500 0.7500 0.7500  6 Au 2.81, 6 Tc 2.85

Results
ΔE_f, meV/atom: 215
Energy above the lowest structure with this stoichiometry, eV per atom: 0.160
Electronic total energy, eV per atom: -5.53

---

No. 8
This record from Alexandria describes crystalline TcPtAu2 at its relaxed geometry. The functional is PBE.

a b c (Å): 4.9411 4.9411 5.0136
angles (deg): 81.68 81.68 32.79
Last column: nearest neighbours and their distance in Å.
Fractional coordinates of all 4 atoms:
Au: 0.9961 0.9961 0.0041  6 Au 2.79-2.90, 3 Pt 2.82-2.90, 3 Tc 2.84-2.87
Au: 0.5039 0.5039 0.4959  6 Au 2.79-2.90, 3 Pt 2.82-2.90, 3 Tc 2.84-2.87
Pt: 0.7500 0.7500 0.7500  2 Pt 2.79, 6 Au 2.82-2.90, 4 Tc 2.87
Tc: 0.2500 0.2500 0.2500  2 Tc 2.79, 6 Au 2.84-2.87, 4 Pt 2.87

Results
ΔE_f, meV/atom: 210
Energy above the lowest structure with this stoichiometry, eV per atom: 0.154
Electronic total energy, eV per atom: -5.53

---

No. 9
This record from Alexandria describes crystalline TcPtAu at its relaxed geometry. The functional is PBE.

a b c (Å): 4.9037 4.9037 4.9037
angles (deg): 146.76 131.90 59.72
Last column: nearest neighbours and their distance in Å.
Fractional coordinates of all 3 atoms:
Au: 0.0017 0.0017 0.0000  5 Pt 2.76-2.86, 5 Tc 2.80-2.84, 2 Au 2.80
Pt: 0.3260 0.3260 0.0000  5 Au 2.76-2.86, 5 Tc 2.77-2.95, 2 Pt 2.80
Tc: 0.6723 0.6723 0.0000  5 Pt 2.77-2.95, 5 Au 2.80-2.84, 2 Tc 2.80

Results
ΔE_f, meV/atom: 175
Energy above the lowest structure with this stoichiometry, eV per atom: 0.235
Electronic total energy, eV per atom: -6.39

---

No. 10
This record from Alexandria describes crystalline Tc2PtAu at its relaxed geometry. The functional is PBE.

a b c (Å): 2.7887 4.8032 5.6334
angles (deg): 55.27 90.00 90.00
Last column: nearest neighbours and their distance in Å.
Fractional coordinates of all 4 atoms:
Au: 0.5000 0.5000 0.5000  4 Pt 2.78, 2 Au 2.79, 6 Tc 2.82
Pt: 0.0000 0.0000 0.5000  4 Au 2.78, 2 Pt 2.79, 6 Tc 2.82
Tc: 0.0000 0.0000 0.0000  6 Tc 2.78-2.79, 2 Pt 2.82, 4 Au 2.82
Tc: 0.5000 0.5000 0.0000  6 Tc 2.78-2.79, 2 Au 2.82, 4 Pt 2.82

Results
ΔE_f, meV/atom: 211
Energy above the lowest structure with this stoichiometry, eV per atom: 0.211
Electronic total energy, eV per atom: -7.30

---

No. 11
This record from Alexandria describes crystalline TcPtAu4 at its relaxed geometry. The functional is PBE.

a b c (Å): 5.4083 5.4083 5.4083
angles (deg): 60.00 60.00 60.00
Last column: nearest neighbours and their distance in Å.
Fractional coordinates of all 6 atoms:
Tc: 0.0000 0.0000 0.0000  12 Au 3.17, 4 Pt 3.31
Pt: 0.2500 0.2500 0.2500  12 Au 3.17, 4 Tc 3.31
Au: 0.6249 0.6249 0.1252  6 Au 2.70-2.71
Au: 0.6249 0.1252 0.6249  6 Au 2.70-2.71
Au: 0.6249 0.6249 0.6249  6 Au 2.70-2.71
Au: 0.1252 0.6249 0.6249  6 Au 2.70-2.71

Results
ΔE_f, meV/atom: 553
Electronic total energy, eV per atom: -4.37

---

No. 12
This record from Alexandria describes crystalline TcPtAu2 at its relaxed geometry. The functional is PBE.

a b c (Å): 7.4169 7.4169 5.9059
angles (deg): 51.10 51.10 90.00
Last column: nearest neighbours and their distance in Å.
Fractional coordinates of all 8 atoms:
Au: 0.6249 0.1250 0.2500  2 Tc 2.71, 2 Pt 2.71, 2 Au 2.72
Au: 0.1251 0.6250 0.2500  2 Tc 2.71, 2 Pt 2.71, 2 Au 2.72
Au: 0.3750 0.3751 0.7500  2 Tc 2.71, 2 Pt 2.71, 2 Au 2.72
Au: 0.8750 0.8749 0.7500  2 Tc 2.71, 2 Pt 2.71, 2 Au 2.72
Tc: 0.5000 0.5000 0.0000  4 Au 2.71, 2 Pt 2.72
Tc: 0.2500 0.7500 0.5000  4 Au 2.71, 2 Pt 2.72
Pt: 0.0000 0.0000 0.0000  4 Au 2.71, 2 Tc 2.72
Pt: 0.7500 0.2500 0.5000  4 Au 2.71, 2 Tc 2.72

Results
ΔE_f, meV/atom: 694
Energy above the lowest structure with this stoichiometry, eV per atom: 0.638
Electronic total energy, eV per atom: -5.05

---

No. 13
This record from Alexandria describes crystalline Tc2PtAu at its relaxed geometry. The functional is PBE.

a b c (Å): 4.8998 4.8998 4.8030
angles (deg): 80.42 80.42 33.18
Last column: nearest neighbours and their distance in Å.
Fractional coordinates of all 4 atoms:
Au: 0.7500 0.7500 0.7500  4 Pt 2.78, 2 Au 2.80, 6 Tc 2.82-2.86
Pt: 0.2500 0.2500 0.2500  6 Tc 2.77-2.82, 4 Au 2.78, 2 Pt 2.80
Tc: 0.9961 0.9961 0.0121  6 Tc 2.69-2.87, 3 Pt 2.77-2.82, 3 Au 2.82-2.86
Tc: 0.5039 0.5039 0.4879  6 Tc 2.69-2.87, 3 Pt 2.77-2.82, 3 Au 2.82-2.86

Results
ΔE_f, meV/atom: 198
Energy above the lowest structure with this stoichiometry, eV per atom: 0.198
Electronic total energy, eV per atom: -7.31

---

No. 14
This record from Alexandria describes crystalline TcPtAu2 at its relaxed geometry. The functional is PBE.

a b c (Å): 5.6854 5.6854 5.6854
angles (deg): 151.52 128.65 59.77
Last column: nearest neighbours and their distance in Å.
Fractional coordinates of all 4 atoms:
Au: 0.0087 0.0087 0.0000  4 Au 2.80-2.97, 4 Pt 2.84, 2 Tc 2.86
Au: 0.7431 0.2431 0.5000  4 Au 2.80-2.97, 4 Tc 2.84, 2 Pt 2.89
Pt: 0.4869 0.4869 0.0000  2 Tc 2.63, 2 Pt 2.80, 6 Au 2.84-2.89
Tc: 0.2614 0.7614 0.5000  2 Pt 2.63, 2 Tc 2.80, 6 Au 2.84-2.86

Results
ΔE_f, meV/atom: 286
Energy above the lowest structure with this stoichiometry, eV per atom: 0.230
Electronic total energy, eV per atom: -5.45

---

No. 15
This record from Alexandria describes crystalline TcPt12Au3 at its relaxed geometry. The functional is PBE.

a b c (Å): 3.9865 3.9865 16.1038
angles (deg): 90.00 90.00 90.00
Last column: nearest neighbours and their distance in Å.
Fractional coordinates of all 16 atoms:
Tc: 0.0000 0.0000 0.0000  12 Pt 2.75-2.82
Pt: 0.5000 0.5000 0.0000  8 Pt 2.75, 4 Tc 2.82
Pt: 0.5000 0.5000 0.2468  4 Au 2.82, 8 Pt 2.85-2.88
Pt: 0.5000 0.5000 0.5000  4 Au 2.82, 8 Pt 2.85
Pt: 0.5000 0.5000 0.7532  4 Au 2.82, 8 Pt 2.85-2.88
Pt: 0.5000 0.0000 0.1180  8 Pt 2.75-2.88, 2 Tc 2.75, 2 Au 2.88
Pt: 0.5000 0.0000 0.3735  8 Pt 2.82-2.85, 4 Au 2.85
Pt: 0.5000 0.0000 0.6265  8 Pt 2.82-2.85, 4 Au 2.85
Pt: 0.5000 0.0000 0.8820  8 Pt 2.75-2.88, 2 Tc 2.75, 2 Au 2.88
Pt: 0.0000 0.5000 0.1180  2 Tc 2.75, 8 Pt 2.75-2.88, 2 Au 2.88
Pt: 0.0000 0.5000 0.3735  8 Pt 2.82-2.85, 4 Au 2.85
Pt: 0.0000 0.5000 0.6265  8 Pt 2.82-2.85, 4 Au 2.85
Pt: 0.0000 0.5000 0.8820  8 Pt 2.75-2.88, 2 Tc 2.75, 2 Au 2.88
Au: 0.0000 0.0000 0.2468  12 Pt 2.82-2.88
Au: 0.0000 0.0000 0.5000  12 Pt 2.82-2.85
Au: 0.0000 0.0000 0.7532  12 Pt 2.82-2.88

Results
ΔE_f, meV/atom: 10
Electronic total energy, eV per atom: -5.78

---

No. 16
This record from Alexandria describes crystalline TcPtAu2 at its relaxed geometry. The functional is PBE.

a b c (Å): 4.9461 4.9461 4.9461
angles (deg): 131.42 131.42 71.14
Last column: nearest neighbours and their distance in Å.
Fractional coordinates of all 4 atoms:
Au: 0.0000 0.0000 0.0000  4 Tc 2.86, 4 Au 2.86, 4 Pt 2.88
Au: 0.2500 0.7500 0.5000  4 Pt 2.86, 4 Au 2.86, 4 Tc 2.88
Pt: 0.5000 0.5000 0.0000  4 Tc 2.86, 8 Au 2.86-2.88
Tc: 0.7500 0.2500 0.5000  8 Au 2.86-2.88, 4 Pt 2.86

Results
ΔE_f, meV/atom: 288
Energy above the lowest structure with this stoichiometry, eV per atom: 0.232
Electronic total energy, eV per atom: -5.45

---

No. 17
This record from Alexandria describes crystalline TcPt2Au at its relaxed geometry. The functional is PBE.

a b c (Å): 2.8069 2.8069 8.0756
angles (deg): 90.00 90.00 90.00
Last column: nearest neighbours and their distance in Å.
Fractional coordinates of all 4 atoms:
Au: 0.5000 0.5000 0.7500  4 Au 2.81, 8 Pt 2.95
Tc: 0.5000 0.5000 0.2500  8 Pt 2.71, 4 Tc 2.81
Pt: 0.0000 0.0000 0.0208  4 Tc 2.71, 4 Pt 2.81, 4 Au 2.95
Pt: 0.0000 0.0000 0.4792  4 Tc 2.71, 4 Pt 2.81, 4 Au 2.95

Results
ΔE_f, meV/atom: -111
Energy above the lowest structure with this stoichiometry, eV per atom: 0.000
Electronic total energy, eV per atom: -6.54

---

No. 18
This record from Alexandria describes crystalline TcPt2Au at its relaxed geometry. The functional is PBE.

a b c (Å): 4.5248 4.5248 4.5248
angles (deg): 60.00 60.00 60.00
Last column: nearest neighbours and their distance in Å.
Fractional coordinates of all 4 atoms:
Au: 0.5000 0.5000 0.5000  8 Pt 2.77
Tc: 0.0000 0.0000 0.0000  8 Pt 2.77
Pt: 0.2500 0.2500 0.2500  4 Tc 2.77, 4 Au 2.77
Pt: 0.7500 0.7500 0.7500  4 Au 2.77, 4 Tc 2.77

Results
ΔE_f, meV/atom: 248
Energy above the lowest structure with this stoichiometry, eV per atom: 0.359
Electronic total energy, eV per atom: -6.18

---

No. 19
This record from Alexandria describes crystalline Tc2Pt2Au at its relaxed geometry. The functional is PBE.

a b c (Å): 7.7896 7.7896 2.7114
angles (deg): 90.00 90.00 90.00
Last column: nearest neighbours and their distance in Å.
Fractional coordinates of all 10 atoms:
Au: 0.0000 0.0000 0.0000  2 Au 2.71
Au: 0.5000 0.5000 0.0000  2 Au 2.71
Tc: 0.1754 0.6754 0.5000  6 Pt 2.62-2.71, 2 Tc 2.71
Tc: 0.6754 0.8246 0.5000  6 Pt 2.62-2.71, 2 Tc 2.71
Tc: 0.8246 0.3246 0.5000  6 Pt 2.62-2.71, 2 Tc 2.71
Tc: 0.3246 0.1754 0.5000  6 Pt 2.62-2.71, 2 Tc 2.71
Pt: 0.3786 0.8786 0.0000  6 Tc 2.62-2.71, 3 Pt 2.67-2.71
Pt: 0.8786 0.6214 0.0000  6 Tc 2.62-2.71, 3 Pt 2.67-2.71
Pt: 0.6214 0.1214 0.0000  6 Tc 2.62-2.71, 3 Pt 2.67-2.71
Pt: 0.1214 0.3786 0.0000  6 Tc 2.62-2.71, 3 Pt 2.67-2.71

Results
ΔE_f, meV/atom: 217
Energy above the lowest structure with this stoichiometry, eV per atom: 0.009
Electronic total energy, eV per atom: -7.00

---

No. 20
This record from Alexandria describes crystalline Tc2PtAu at its relaxed geometry. The functional is PBE.

a b c (Å): 4.1227 2.7643 6.1706
angles (deg): 63.46 90.00 90.00
Last column: nearest neighbours and their distance in Å.
Fractional coordinates of all 4 atoms:
Au: 0.5000 0.2500 0.2500  2 Pt 2.76, 2 Au 2.76, 8 Tc 2.91-2.92
Pt: 0.5000 0.7500 0.7500  2 Au 2.76, 2 Pt 2.76, 8 Tc 2.77
Tc: 0.0000 0.0284 0.9727  1 Tc 2.46
Tc: 0.0000 0.4716 0.5273  1 Tc 2.46

Results
ΔE_f, meV/atom: 179
Energy above the lowest structure with this stoichiometry, eV per atom: 0.179
Electronic total energy, eV per atom: -7.33